Entry 1:
The following is a GGA-PBE calculation of a relaxed structure of Cs2KRh3F12, from Alexandria via LeMat-Bulk.

Output
Calculated density (g/cm³): 4.3
Uncorrected formation energy (eV per atom): -2.022

The structure in POSCAR format:
```
Cs2KRh3F12
1.0
3.765 2.174 6.544
-3.765 2.174 6.544
0.000 -4.347 6.544
Cs K Rh F
2 1 3 12
Cartesian
0.000 0.000 2.375
0.000 0.000 17.258
0.000 0.000 9.816
-1.883 -1.087 6.544
-1.883 1.087 13.088
0.000 2.174 6.544
-2.055 -1.186 8.530
0.000 -1.772 6.826
-1.535 0.886 6.826
-1.535 -0.886 12.807
0.000 -2.373 11.102
-2.055 1.186 11.102
2.055 -1.186 8.530
0.000 2.373 8.530
1.535 0.886 6.826
1.535 -0.886 12.807
0.000 1.772 12.807
2.055 1.186 11.102
```



Entry 2:
The following is a GGA-PBE calculation of a relaxed structure of Pm3TaCl2O6, from Alexandria via LeMat-Bulk.

Output
Calculated density (g/cm³): 5.9
Uncorrected formation energy (eV per atom): -2.729

The structure in POSCAR format:
```
Pm3TaCl2O6
1.0
5.901 -3.348 0.000
5.901 3.348 0.000
-0.969 0.000 5.542
Pm Ta Cl O
3 1 2 6
Cartesian
0.000 0.000 0.000
2.466 1.674 2.771
2.466 -1.674 2.771
5.416 0.000 2.771
1.642 0.000 4.767
9.191 0.000 0.775
4.553 1.553 3.880
6.280 1.553 1.662
3.660 0.000 1.831
7.173 0.000 3.711
4.553 -1.553 3.880
6.280 -1.553 1.662
```



Summary of total energy in eV/atom
-4.65; -7.69
(order as listed above)